This record from Alexandria via LeMat-Bulk describes an optimized crystal structure of HPtSe2N. The functional is PBEsol. Values from VASP.

The structure in Quantum ESPRESSO input format:
```
&SYSTEM
  ibrav = 0, nat = 5, ntyp = 4
/
ATOMIC_SPECIES
H 1.01 H.upf
Se 78.96 Se.upf
Pt 195.08 Pt.upf
N 14.01 N.upf
CELL_PARAMETERS angstrom
-1.2930 2.2850 -0.6189
-4.1323 -2.4365 -0.3620
-0.8657 0.7746 4.6684
ATOMIC_POSITIONS crystal
H 0.0000 0.0000 0.0000
Se 0.0000 0.0000 0.5000
Se 0.0000 0.5000 0.0000
Pt 0.5000 0.5000 0.5000
N 0.5000 0.0000 0.0000
```

Summary:
**SG**: P4/mmm, No. 123
**E**: -4.426 eV/atom
**Total magnetization**: 0.00 μB per formula unit

=====

This record from Alexandria via LeMat-Bulk describes an optimized crystal structure of HPtSeN2. The functional is PBEsol. Values from VASP.

The structure in Quantum ESPRESSO input format:
```
&SYSTEM
  ibrav = 0, nat = 5, ntyp = 4
/
ATOMIC_SPECIES
H 1.01 H.upf
Se 78.96 Se.upf
Pt 195.08 Pt.upf
N 14.01 N.upf
CELL_PARAMETERS angstrom
-2.3085 -0.0619 -2.2064
1.2323 -3.5070 -1.1909
-2.3996 -1.7120 2.5587
ATOMIC_POSITIONS crystal
H 0.0000 0.0000 0.0000
Se 0.5000 0.0000 0.0000
Pt 0.5000 0.5000 0.5000
N 0.0000 0.0000 0.5000
N 0.0000 0.5000 0.0000
```

Summary:
**SG**: P4/mmm, No. 123
**E**: -4.378 eV/atom
**Total magnetization**: 0.00 μB per formula unit

=====

This record from Alexandria via LeMat-Bulk describes an optimized crystal structure of RbH2N. The functional is PBEsol. Values from VASP.

The structure in Quantum ESPRESSO input format:
```
&SYSTEM
  ibrav = 0, nat = 8, ntyp = 3
/
ATOMIC_SPECIES
H 1.01 H.upf
Rb 85.47 Rb.upf
N 14.01 N.upf
CELL_PARAMETERS angstrom
-3.0168 -2.4831 0.0343
2.8458 -3.4794 -1.5895
0.7734 -0.8532 6.2527
ATOMIC_POSITIONS crystal
H 0.4542 0.3342 0.8731
H 0.9542 0.6658 0.1269
H 0.5458 0.6658 0.1269
H 0.0458 0.3342 0.8731
Rb 0.2500 0.2062 0.3048
Rb 0.7500 0.7938 0.6952
N 0.2500 0.2938 0.7687
N 0.7500 0.7062 0.2313
```

Summary:
**SG**: P2_1/m, No. 11
**E**: -4.415 eV/atom
**Total magnetization**: 0.00 μB per formula unit